The following is a GGA-PBE calculation of a relaxed structure of Cr2RhWS, from Alexandria via LeMat-Bulk.

Cell lengths 4.754, 4.443, 4.754 Å; angles 90.00, 90.00, 90.00 degrees
Each line ends with the local moment (μB).
Element x y z (fractional)
Rh 0.500 0.500 0.500  -0.55
Cr 0.000 0.000 0.500  2.87
Cr 0.500 0.000 0.000  3.37
S 0.000 0.500 0.000  0.14
W 0.000 0.000 0.000  -0.72

Summary:
The total magnetic moment comes out at 1.1415 μB per atom. The space group is No. 123. The calculation puts the calculated total energy at -7.3756 eV per atom. The density of states at the Fermi level comes out at 1.04 states/eV/atom. The value obtained for the formation energy (no corrections) is 1.360 eV/atom.